[1]
Compound: LaPuZnGa
Source: the Alexandria database
Functional: PBE
Structure: optimized geometry

```
data_LaPuZnGa
_space_group_name_H-M_alt 'F -4 3 m'
_space_group_IT_number 216
_space_group_name_Hall 'F -4 2 3'
_cell_length_a 7.362
_cell_length_b 7.362
_cell_length_c 7.362
_cell_angle_alpha 90.00
_cell_angle_beta 90.00
_cell_angle_gamma 90.00
loop_
_atom_site_label
_atom_site_type_symbol
_atom_site_fract_x
_atom_site_fract_y
_atom_site_fract_z
_atom_site_occupancy
La1 La 0.000 0.000 0.000 1
Pu1 Pu 0.000 0.000 0.500 1
Zn1 Zn 0.250 0.250 0.250 1
Ga1 Ga 0.250 0.250 0.750 1
```

Summary:
- Electronic total energy: -98.695 eV for the cell shown

***

[2]
Compound: RbLaGaRe2
Source: the Alexandria database
Functional: PBE
Structure: optimized geometry

```
data_RbLaGaRe2
_space_group_name_H-M_alt 'P 4/m m m'
_space_group_IT_number 123
_space_group_name_Hall '-P 4 2'
_cell_length_a 4.795
_cell_length_b 4.795
_cell_length_c 5.456
_cell_angle_alpha 90.00
_cell_angle_beta 90.00
_cell_angle_gamma 90.00
loop_
_atom_site_label
_atom_site_type_symbol
_atom_site_fract_x
_atom_site_fract_y
_atom_site_fract_z
_atom_site_occupancy
Rb1 Rb 0.000 0.000 0.000 1
La1 La 0.500 0.500 0.000 1
Ga1 Ga 0.000 0.000 0.500 1
Re1 Re 0.000 0.500 0.500 1
```

Summary:
- Electronic total energy: -26.572 eV for the cell shown

***

[3]
Compound: Rb3La3GaS8
Source: the Alexandria database
Functional: PBE
Structure: optimized geometry

```
data_Rb3La3GaS8
_space_group_name_H-M_alt 'C 1 2/m 1'
_space_group_IT_number 12
_space_group_name_Hall '-C 2y'
_cell_length_a 14.536
_cell_length_b 8.391
_cell_length_c 9.166
_cell_angle_alpha 90.00
_cell_angle_beta 121.92
_cell_angle_gamma 90.00
loop_
_atom_site_label
_atom_site_type_symbol
_atom_site_fract_x
_atom_site_fract_y
_atom_site_fract_z
_atom_site_occupancy
Rb1 Rb 0.000 0.000 0.000 1
Rb2 Rb 0.250 0.250 0.000 1
La1 La 0.000 0.500 0.500 1
La2 La 0.250 0.250 0.500 1
Ga1 Ga 0.000 0.000 0.500 1
S1 S 0.015 0.224 0.320 1
S2 S 0.208 0.000 0.679 1
S3 S 0.233 0.500 0.699 1
```

Summary:
- Formation energy from raw total energies: -1463 meV/atom

***

[4]
Compound: Rb2LaGaS4
Source: the Alexandria database
Functional: PBE
Structure: optimized geometry

```
data_Rb2LaGaS4
_space_group_name_H-M_alt 'C 1 2/c 1'
_space_group_IT_number 15
_space_group_name_Hall '-C 2yc'
_cell_length_a 11.776
_cell_length_b 12.321
_cell_length_c 8.739
_cell_angle_alpha 90.00
_cell_angle_beta 131.29
_cell_angle_gamma 90.00
loop_
_atom_site_label
_atom_site_type_symbol
_atom_site_fract_x
_atom_site_fract_y
_atom_site_fract_z
_atom_site_occupancy
Rb1 Rb 0.000 0.000 0.000 1
Rb2 Rb 0.250 0.250 0.000 1
La1 La 0.000 0.500 0.000 1
Ga1 Ga 0.250 0.250 0.500 1
S1 S 0.072 0.258 0.520 1
S2 S 0.210 0.485 0.442 1
```

Summary:
- Formation energy from raw total energies: -1201 meV/atom

***

[5]
Compound: Rb4La3GaS8
Source: the Alexandria database
Functional: PBE
Structure: optimized geometry

```
data_Rb4La3GaS8
_space_group_name_H-M_alt 'C 1 2/m 1'
_space_group_IT_number 12
_space_group_name_Hall '-C 2y'
_cell_length_a 14.763
_cell_length_b 8.328
_cell_length_c 9.122
_cell_angle_alpha 90.00
_cell_angle_beta 122.25
_cell_angle_gamma 90.00
loop_
_atom_site_label
_atom_site_type_symbol
_atom_site_fract_x
_atom_site_fract_y
_atom_site_fract_z
_atom_site_occupancy
Rb1 Rb 0.000 0.000 0.000 1
Rb2 Rb 0.000 0.500 0.000 1
Rb3 Rb 0.250 0.250 0.000 1
La1 La 0.000 0.000 0.500 1
La2 La 0.250 0.250 0.500 1
Ga1 Ga 0.000 0.500 0.500 1
S1 S 0.014 0.281 0.319 1
S2 S 0.231 0.000 0.700 1
S3 S 0.242 0.500 0.708 1
```

Summary:
- Formation energy from raw total energies: -1547 meV/atom

***

[6]
Compound: RbLaGa2Se
Source: the Alexandria database
Functional: PBE
Structure: optimized geometry

```
data_RbLaGa2Se
_space_group_name_H-M_alt 'P 4/m m m'
_space_group_IT_number 123
_space_group_name_Hall '-P 4 2'
_cell_length_a 6.021
_cell_length_b 6.021
_cell_length_c 5.773
_cell_angle_alpha 90.00
_cell_angle_beta 90.00
_cell_angle_gamma 90.00
loop_
_atom_site_label
_atom_site_type_symbol
_atom_site_fract_x
_atom_site_fract_y
_atom_site_fract_z
_atom_site_occupancy
Rb1 Rb 0.000 0.000 0.000 1
La1 La 0.500 0.500 0.500 1
Ga1 Ga 0.000 0.500 0.500 1
Se1 Se 0.500 0.500 0.000 1
```

Summary:
- Formation energy from raw total energies: -203 meV/atom
- E above lowest polymorph: 0.0 meV/atom